Density functional theory data (PBE with a Hubbard U) for a geometry-optimized Mn2BeO structure.

## Properties
Energy above the most stable polymorph in this dataset, meV/atom: 413

Lattice parameters (Å, degrees): 4.1111 4.1111 4.1111 60.00 60.00 60.00
Fractional coordinates of all 4 atoms:
Mn1 0.2500 0.2500 0.2500
Mn2 0.7500 0.7500 0.7500
Be1 0.0000 0.0000 0.0000
O1 0.5000 0.5000 0.5000